Material: Pa3Ge3Os2Ru
Method: DFT, PBE
State: relaxed

**Formation energy**: -526.8 kJ/mol of formula units
**Theoretical density**: 13.4 g/cm3

The structure in CIF format:
```
data_Pa3Ge3Os2Ru
_chemical_formula_sum 'Pa3 Ge3 Os2 Ru1'
_cell_length_a 7.1399
_cell_length_b 7.1399
_cell_length_c 3.9103
_cell_angle_alpha 90.00
_cell_angle_beta 90.00
_cell_angle_gamma 120.00
_space_group_name_H-M_alt 'P -6 2 m'
_space_group_IT_number 189
_space_group_name_Hall 'P -6 -2'
loop_
_atom_site_label
_atom_site_fract_x
_atom_site_fract_y
_atom_site_fract_z
Pa1 0.0000 0.4118 0.0000
Ge1 0.0000 0.7500 0.5000
Os1 0.3333 0.6667 0.5000
Ru1 0.0000 0.0000 0.0000
```